Entry 1:
Compound: HoTm12Th5
Source: the Alexandria database
Functional: PBE-GGA
Structure: relaxed

a = 14.845 Å, b = 14.991 Å, c = 5.007 Å
α = 90.00°, β = 90.00°, γ = 90.00°
Space group Cmmm (No. 65)
Symmetry-distinct sites (fractional):
Ho: 0.000 0.000 0.000 [2 per cell]
Tm: 0.164 0.166 0.000 [8 per cell]
Tm: 0.164 0.333 0.500 [8 per cell]
Tm: 0.164 0.500 0.000 [4 per cell]
Tm: 0.166 0.000 0.500 [4 per cell]
Th: 0.000 0.166 0.500 [4 per cell]
Th: 0.000 0.333 0.000 [4 per cell]
Th: 0.000 0.500 0.500 [2 per cell]

Summary:
Magnetic moment, μB/atom: 0.000
E_tot, eV per atom: -5.2710
DFT formation energy, eV per atom: 0.03

=====

Entry 2:
Compound: Ho4Tm5Th2
Source: the Alexandria database
Functional: PBE-GGA
Structure: relaxed

a = 3.431 Å, b = 11.414 Å, c = 18.184 Å
α = 90.00°, β = 90.00°, γ = 90.00°
Space group Immm (No. 71)
Symmetry-distinct sites (fractional):
Ho: 0.000 0.000 0.091 [4 per cell]
Ho: 0.000 0.274 0.500 [4 per cell]
Tm: 0.000 0.290 0.321 [8 per cell]
Tm: 0.000 0.500 0.000 [2 per cell]
Th: 0.000 0.000 0.296 [4 per cell]

Summary:
Magnetic moment, μB/atom: 0.000
Relative energy among the computed polymorphs, eV/atom: 0.202
E_tot, eV per atom: -4.7916
DFT formation energy, eV per atom: 0.25

=====

Entry 3:
Compound: Ho12Tm6Th
Source: the Alexandria database
Functional: PBE-GGA
Structure: relaxed

a = 13.2315 Å, b = 13.2315 Å, c = 12.0873 Å
α = 90.00°, β = 90.00°, γ = 120.00°
Space group R-3m (No. 166, hexagonal axes)
Symmetry-distinct sites (fractional):
Ho: 0.0000 0.2565 0.0000 [18 per cell]
Ho: 0.0898 0.1797 0.7558 [18 per cell]
Tm: 0.0392 0.5196 0.1267 [18 per cell]
Th: 0.0000 0.0000 0.5000 [3 per cell]

Summary:
Magnetic moment, μB/atom: 0.000
Relative energy among the computed polymorphs, eV/atom: 0.071
E_tot, eV per atom: -4.4749
DFT formation energy, eV per atom: 0.22

=====

Entry 4:
Compound: Ho14TmTh
Source: the Alexandria database
Functional: PBE-GGA
Structure: relaxed

a = 11.416 Å, b = 7.085 Å, c = 12.279 Å
α = 90.00°, β = 90.00°, γ = 90.00°
Space group Amm2 (No. 38)
Symmetry-distinct sites (fractional):
Ho: 0.000 0.000 0.000 [2 per cell]
Ho: 0.000 0.000 0.500 [2 per cell]
Ho: 0.000 0.249 0.250 [4 per cell]
Ho: 0.249 0.000 0.668 [4 per cell]
Ho: 0.250 0.000 0.167 [4 per cell]
Ho: 0.250 0.248 0.916 [8 per cell]
Ho: 0.500 0.250 0.083 [4 per cell]
Tm: 0.500 0.000 0.333 [2 per cell]
Th: 0.500 0.000 0.833 [2 per cell]

Summary:
Magnetic moment, μB/atom: 0.000
E_tot, eV per atom: -4.7378
DFT formation energy, eV per atom: 0.01

=====

Entry 5:
Compound: Ho5Tm5Th2
Source: the Alexandria database
Functional: PBE-GGA
Structure: relaxed

a = 16.895 Å, b = 5.561 Å, c = 9.673 Å
α = 90.00°, β = 124.76°, γ = 90.00°
Space group C2/m (No. 12)
Symmetry-distinct sites (fractional):
Ho: 0.000 0.000 0.000 [2 per cell]
Ho: 0.127 0.000 0.455 [4 per cell]
Ho: 0.250 0.000 0.248 [4 per cell]
Tm: 0.000 0.500 0.500 [2 per cell]
Tm: 0.125 0.500 0.958 [4 per cell]
Tm: 0.126 0.500 0.292 [4 per cell]
Th: 0.121 0.000 0.779 [4 per cell]

Summary:
Magnetic moment, μB/atom: 0.000
Relative energy among the computed polymorphs, eV/atom: 0.077
E_tot, eV per atom: -4.9026
DFT formation energy, eV per atom: 0.10

=====

Entry 6:
Compound: Ho2TmTh3
Source: the Alexandria database
Functional: PBE-GGA
Structure: relaxed

a = 6.136 Å, b = 7.086 Å, c = 8.698 Å
α = 90.00°, β = 90.20°, γ = 90.00°
Space group P2_1/m (No. 11)
Symmetry-distinct sites (fractional):
Ho: 0.001 0.250 0.001 [2 per cell]
Ho: 0.334 0.750 0.334 [2 per cell]
Tm: 0.333 0.250 0.333 [2 per cell]
Th: 0.167 0.000 0.666 [4 per cell]
Th: 0.500 0.000 0.000 [2 per cell]

Summary:
Magnetic moment, μB/atom: 0.000
Relative energy among the computed polymorphs, eV/atom: 0.000
E_tot, eV per atom: -5.9395
DFT formation energy, eV per atom: 0.04

=====

Entry 7:
Compound: HoTmTh14
Source: the Alexandria database
Functional: PBE-GGA
Structure: relaxed

a = 11.564 Å, b = 7.164 Å, c = 12.410 Å
α = 90.00°, β = 90.00°, γ = 90.00°
Space group Amm2 (No. 38)
Symmetry-distinct sites (fractional):
Ho: 0.000 0.000 0.000 [2 per cell]
Tm: 0.000 0.000 0.500 [2 per cell]
Th: 0.000 0.250 0.246 [4 per cell]
Th: 0.249 0.250 0.415 [8 per cell]
Th: 0.250 0.000 0.665 [4 per cell]
Th: 0.251 0.000 0.165 [4 per cell]
Th: 0.500 0.000 0.332 [2 per cell]
Th: 0.500 0.000 0.832 [2 per cell]
Th: 0.500 0.250 0.082 [4 per cell]

Summary:
Magnetic moment, μB/atom: 0.000
E_tot, eV per atom: -7.0267
DFT formation energy, eV per atom: 0.03

=====

Entry 8:
Compound: HoTm3Th4
Source: the Alexandria database
Functional: PBE-GGA
Structure: relaxed

a = 11.588 Å, b = 7.078 Å, c = 6.181 Å
α = 90.00°, β = 90.00°, γ = 90.00°
Space group Pmn2_1 (No. 31)
Symmetry-distinct sites (fractional):
Ho: 0.000 0.127 0.000 [2 per cell]
Tm: 0.000 0.874 0.501 [2 per cell]
Tm: 0.250 0.126 0.342 [4 per cell]
Th: 0.000 0.381 0.507 [2 per cell]
Th: 0.000 0.622 0.007 [2 per cell]
Th: 0.250 0.380 0.835 [4 per cell]

Summary:
Magnetic moment, μB/atom: 0.000
Relative energy among the computed polymorphs, eV/atom: 0.000
E_tot, eV per atom: -5.9102
DFT formation energy, eV per atom: 0.05

=====

Entry 9:
Compound: Ho2Tm2Th3
Source: the Alexandria database
Functional: PBE-GGA
Structure: relaxed

a = 17.321 Å, b = 3.456 Å, c = 8.390 Å
α = 90.00°, β = 117.32°, γ = 90.00°
Space group C2/m (No. 12)
Symmetry-distinct sites (fractional):
Ho: 0.069 0.000 0.405 [4 per cell]
Tm: 0.147 0.500 0.832 [4 per cell]
Th: 0.000 0.500 0.000 [2 per cell]
Th: 0.213 0.500 0.293 [4 per cell]

Summary:
Magnetic moment, μB/atom: 0.000
Relative energy among the computed polymorphs, eV/atom: 0.000
E_tot, eV per atom: -5.6286
DFT formation energy, eV per atom: 0.14

=====

Entry 10:
Compound: HoTmTh2
Source: the Alexandria database
Functional: PBE-GGA
Structure: relaxed

a = 5.035 Å, b = 5.027 Å, c = 9.997 Å
α = 90.00°, β = 90.00°, γ = 90.00°
Space group Pmma (No. 51)
Symmetry-distinct sites (fractional):
Ho: 0.250 0.000 0.127 [2 per cell]
Tm: 0.250 0.500 0.873 [2 per cell]
Th: 0.250 0.000 0.625 [2 per cell]
Th: 0.250 0.500 0.376 [2 per cell]

Summary:
Magnetic moment, μB/atom: 0.000
Relative energy among the computed polymorphs, eV/atom: 0.001
E_tot, eV per atom: -5.9408
DFT formation energy, eV per atom: 0.03

=====

Entry 11:
Compound: HoTm5Th2
Source: the Alexandria database
Functional: PBE-GGA
Structure: relaxed

a = 6.468 Å, b = 13.250 Å, c = 11.789 Å
α = 90.00°, β = 90.00°, γ = 90.00°
Space group Imma (No. 74)
Symmetry-distinct sites (fractional):
Ho: 0.000 0.250 0.204 [4 per cell]
Tm: 0.000 0.118 0.969 [8 per cell]
Tm: 0.000 0.250 0.485 [4 per cell]
Tm: 0.250 0.018 0.250 [8 per cell]
Th: 0.000 0.000 0.500 [4 per cell]
Th: 0.250 0.250 0.750 [4 per cell]

Summary:
Magnetic moment, μB/atom: 0.000
Relative energy among the computed polymorphs, eV/atom: 0.135
E_tot, eV per atom: -4.9887
DFT formation energy, eV per atom: 0.23

=====

Entry 12:
Compound: Ho7TmTh2
Source: the Alexandria database
Functional: PBE-GGA
Structure: relaxed

a = 8.654 Å, b = 16.647 Å, c = 5.453 Å
α = 90.00°, β = 90.00°, γ = 90.00°
Space group Cmmm (No. 65)
Symmetry-distinct sites (fractional):
Ho: 0.000 0.000 0.000 [2 per cell]
Ho: 0.000 0.295 0.500 [4 per cell]
Ho: 0.176 0.391 0.000 [8 per cell]
Tm: 0.000 0.500 0.500 [2 per cell]
Th: 0.000 0.205 0.000 [4 per cell]

Summary:
Magnetic moment, μB/atom: 0.000
Relative energy among the computed polymorphs, eV/atom: 0.754
E_tot, eV per atom: -4.3579
DFT formation energy, eV per atom: 0.78

=====

Entry 13:
Compound: HoTm6Th12
Source: the Alexandria database
Functional: PBE-GGA
Structure: relaxed

a = 13.2858 Å, b = 13.2858 Å, c = 12.2717 Å
α = 90.00°, β = 90.00°, γ = 120.00°
Space group R-3m (No. 166, hexagonal axes)
Symmetry-distinct sites (fractional):
Ho: 0.0000 0.0000 0.0000 [3 per cell]
Tm: 0.0424 0.5212 0.6202 [18 per cell]
Th: 0.0000 0.2541 0.5000 [18 per cell]
Th: 0.0887 0.1774 0.2602 [18 per cell]

Summary:
Magnetic moment, μB/atom: 0.000
E_tot, eV per atom: -6.0984
DFT formation energy, eV per atom: 0.24

=====

Entry 14:
Compound: Ho4Tm6Th
Source: the Alexandria database
Functional: PBE-GGA
Structure: relaxed

a = 7.584 Å, b = 7.584 Å, c = 12.830 Å
α = 90.00°, β = 90.00°, γ = 90.00°
Space group I-42m (No. 121)
Symmetry-distinct sites (fractional):
Ho: 0.171 0.171 0.425 [8 per cell]
Tm: 0.000 0.500 0.000 [4 per cell]
Tm: 0.247 0.247 0.182 [8 per cell]
Th: 0.000 0.000 0.000 [2 per cell]

Summary:
Magnetic moment, μB/atom: 0.000
Relative energy among the computed polymorphs, eV/atom: 0.352
E_tot, eV per atom: -4.2894
DFT formation energy, eV per atom: 0.49

=====

Entry 15:
Compound: Ho3Tm5Th3
Source: the Alexandria database
Functional: PBE-GGA
Structure: relaxed

a = 11.0668 Å, b = 11.0668 Å, c = 3.4100 Å
α = 90.00°, β = 90.00°, γ = 120.00°
Space group P-62m (No. 189)
Symmetry-distinct sites (fractional):
Ho: 0.0000 0.1605 0.0000 [3 per cell]
Tm: 0.0000 0.6596 0.0000 [3 per cell]
Tm: 0.3333 0.6667 0.0000 [2 per cell]
Th: 0.0000 0.4047 0.5000 [3 per cell]

Summary:
Magnetic moment, μB/atom: 0.000
Relative energy among the computed polymorphs, eV/atom: 0.000
E_tot, eV per atom: -4.8916
DFT formation energy, eV per atom: 0.41

=====

Entry 16:
Compound: HoTm3Th2
Source: the Alexandria database
Functional: PBE-GGA
Structure: relaxed

a = 23.250 Å, b = 3.437 Å, c = 10.039 Å
α = 90.00°, β = 108.32°, γ = 90.00°
Space group C2/m (No. 12)
Symmetry-distinct sites (fractional):
Ho: 0.187 0.000 0.037 [4 per cell]
Tm: 0.058 0.000 0.444 [4 per cell]
Tm: 0.068 0.500 0.772 [4 per cell]
Tm: 0.195 0.000 0.712 [4 per cell]
Th: 0.071 0.500 0.135 [4 per cell]
Th: 0.190 0.000 0.375 [4 per cell]

Summary:
Magnetic moment, μB/atom: 0.000
Relative energy among the computed polymorphs, eV/atom: 0.120
E_tot, eV per atom: -5.3239
DFT formation energy, eV per atom: 0.15

=====

Entry 17:
Compound: Ho3TmTh4
Source: the Alexandria database
Functional: PBE-GGA
Structure: relaxed

a = 3.416 Å, b = 11.306 Å, c = 13.169 Å
α = 90.00°, β = 90.00°, γ = 90.00°
Space group Immm (No. 71)
Symmetry-distinct sites (fractional):
Ho: 0.000 0.000 0.000 [2 per cell]
Ho: 0.000 0.500 0.234 [4 per cell]
Tm: 0.000 0.000 0.500 [2 per cell]
Th: 0.000 0.253 0.371 [8 per cell]

Summary:
Magnetic moment, μB/atom: 0.000
E_tot, eV per atom: -5.8497
DFT formation energy, eV per atom: 0.14

=====

Entry 18:
Compound: Ho12Tm7Th
Source: the Alexandria database
Functional: PBE-GGA
Structure: relaxed

a = 12.0929 Å, b = 12.0929 Å, c = 15.1373 Å
α = 90.00°, β = 90.00°, γ = 120.00°
Space group R-3 (No. 148, hexagonal axes)
Symmetry-distinct sites (fractional):
Ho: 0.0142 0.5698 0.2043 [18 per cell]
Ho: 0.0573 0.4703 0.5889 [18 per cell]
Tm: 0.0000 0.0000 0.0000 [3 per cell]
Tm: 0.0410 0.8555 0.3055 [18 per cell]
Th: 0.0000 0.0000 0.5000 [3 per cell]

Summary:
Magnetic moment, μB/atom: 0.000
Relative energy among the computed polymorphs, eV/atom: 0.000
E_tot, eV per atom: -4.4404
DFT formation energy, eV per atom: 0.24

=====

Entry 19:
Compound: Ho2Tm2Th
Source: the Alexandria database
Functional: PBE-GGA
Structure: relaxed

a = 15.905 Å, b = 6.010 Å, c = 6.759 Å
α = 90.00°, β = 102.95°, γ = 90.00°
Space group C2/c (No. 15)
Symmetry-distinct sites (fractional):
Ho: 0.195 0.048 0.081 [8 per cell]
Tm: 0.095 0.424 0.654 [8 per cell]
Th: 0.000 0.072 0.250 [4 per cell]

Summary:
Magnetic moment, μB/atom: 0.000
Relative energy among the computed polymorphs, eV/atom: 0.038
E_tot, eV per atom: -5.0184
DFT formation energy, eV per atom: 0.09